Compound: Ti3HPb
Source: Alexandria
Functional: GGA-PBEsol
Structure: relaxed

Properties
The energy above the most stable polymorph in this dataset comes out at 0.00 kcal/mol of atoms. The density of states at the Fermi level is 1.17 states/eV per atom. For the electronic total energy, the calculation gives -0.2471 Ha/atom.

Cell: 5.875 5.875 5.875 Å, 120.09 89.91 120.01°
Positions (direct):
1 Ti 0.259 0.000 0.759
2 Ti 0.259 0.500 0.259
3 Ti 0.267 0.017 0.250
4 Ti 0.733 0.983 0.750
5 Ti 0.741 0.000 0.241
6 Ti 0.741 0.500 0.741
7 H 0.000 0.000 0.000
8 H 0.500 0.000 0.500
9 Pb 0.232 0.482 0.750
10 Pb 0.768 0.518 0.250


Compound: Ti3HPb
Source: Alexandria
Functional: GGA-PBEsol
Structure: relaxed

Properties
The energy above the most stable polymorph in this dataset comes out at 0.06 kcal/mol of atoms. The density of states at the Fermi level is 1.34 states/eV per atom. For the electronic total energy, the calculation gives -0.2470 Ha/atom.

Cell: 4.154 4.154 4.154 Å, 90.00 90.00 90.00°
Positions (direct):
1 Ti 0.000 0.000 0.500
2 Ti 0.000 0.500 0.000
3 Ti 0.500 0.000 0.000
4 H 0.000 0.000 0.000
5 Pb 0.500 0.500 0.500


Compound: Tl2H2Pb
Source: Alexandria
Functional: GGA-PBEsol
Structure: relaxed

Properties
The density of states at the Fermi level is 0.33 states/eV per atom. For the electronic total energy, the calculation gives -0.1040 Ha/atom.

Cell: 7.761 7.761 7.761 Å, 153.09 153.09 38.42°
Positions (direct):
1 Tl 0.157 0.157 0.000
2 Tl 0.843 0.843 0.000
3 H 0.250 0.750 0.500
4 H 0.750 0.250 0.500
5 Pb 0.500 0.500 0.000


Compound: TlH2Pb
Source: Alexandria
Functional: GGA-PBEsol
Structure: relaxed

Properties
The density of states at the Fermi level is 0.34 states/eV per atom. For the electronic total energy, the calculation gives -0.1051 Ha/atom.

Cell: 7.061 7.061 7.061 Å, 139.18 139.18 59.10°
Positions (direct):
1 Tl 0.000 0.000 0.000
2 Tl 0.750 0.250 0.500
3 H 0.228 0.625 0.103
4 H 0.375 0.478 0.603
5 H 0.522 0.125 0.897
6 H 0.875 0.772 0.397
7 Pb 0.250 0.750 0.500
8 Pb 0.500 0.500 0.000


Compound: ZnH2PbW
Source: Alexandria
Functional: GGA-PBEsol
Structure: relaxed

Properties
The density of states at the Fermi level is 0.54 states/eV per atom. For the electronic total energy, the calculation gives -0.1624 Ha/atom.

Cell: 3.767 3.767 5.030 Å, 90.00 90.00 90.00°
Positions (direct):
1 Zn 0.000 0.000 0.000
2 H 0.000 0.500 0.500
3 H 0.500 0.000 0.500
4 Pb 0.500 0.500 0.000
5 W 0.000 0.000 0.500


Compound: YHPb
Source: Alexandria
Functional: GGA-PBEsol
Structure: relaxed

Properties
The density of states at the Fermi level is 0.20 states/eV per atom. For the electronic total energy, the calculation gives -0.1952 Ha/atom.

Cell: 3.628 3.628 5.066 Å, 90.00 90.00 120.00°
Positions (direct):
1 Y 0.000 0.000 0.000
2 H 0.333 0.667 0.000
3 Pb 0.667 0.333 0.500